# RbV2InO6, relaxed, DFT PBE+U
# E = -6.594 eV per atom
# Volume = 780 Å³/cell
# DOS at the Fermi energy = 0.00 states/eV/f.u.
data_RbV2InO6
_chemical_formula_sum 'Rb4 V8 In4 O24'
_symmetry_space_group_name_H-M 'C 1 2/c 1'
_symmetry_Int_Tables_number 15
_symmetry_space_group_name_Hall '-C 2yc'
_cell_length_a 11.6115
_cell_length_b 11.3578
_cell_length_c 6.0445
_cell_angle_alpha 90.00
_cell_angle_beta 101.75
_cell_angle_gamma 90.00
loop_
_atom_site_label
_atom_site_fract_x
_atom_site_fract_y
_atom_site_fract_z
Rb1 0.0000 0.1067 0.2500
V1 0.2276 0.4164 0.2352
In1 0.0000 0.3007 0.7500
O1 0.1277 0.1214 0.7118
O2 0.1437 0.2968 0.1733
O3 0.1970 0.4874 0.4893